(1)
First-principles (PBE-GGA) data for a relaxed structure of LiYCd2Ag4, as listed in Alexandria via LeMat-Bulk.

a b c (Å): 4.8364 4.8364 8.3067
angles (deg): 73.08 73.08 60.00
Element x y z (fractional)
Li (0.5000, 0.5000, 0.5000)
Y (0.0000, 0.0000, 0.0000)
Cd (0.7477, 0.7477, 0.7568)
Cd (0.2523, 0.2523, 0.2432)
Ag (0.3869, 0.3869, 0.8393)
Ag (0.8699, 0.8699, 0.3902)
Ag (0.1301, 0.1301, 0.6098)
Ag (0.6131, 0.6131, 0.1607)

As for the space group: R-3m, No. 166. The density of states at the Fermi level comes out at 3.0 states/eV/f.u. The final energy is -2.921 eV per atom. The calculation puts the formation energy at -0.22 eV per atom.



(2)
First-principles (PBE-GGA) data for a relaxed structure of LiYCd5Ag2, as listed in Alexandria via LeMat-Bulk.

a b c (Å): 4.4390 4.4390 11.0880
angles (deg): 90.00 90.00 90.00
Element x y z (fractional)
Li (0.0000, 0.0000, 0.0000)
Y (0.0000, 0.0000, 0.5000)
Cd (0.0000, 0.5000, 0.2818)
Cd (0.5000, 0.0000, 0.2818)
Cd (0.0000, 0.5000, 0.7182)
Cd (0.5000, 0.0000, 0.7182)
Cd (0.5000, 0.5000, 0.5000)
Ag (0.5000, 0.5000, 0.1195)
Ag (0.5000, 0.5000, 0.8805)

As for the space group: P4/mmm, No. 123. The density of states at the Fermi level comes out at 4.0 states/eV/f.u. The final energy is -2.123 eV per atom. The calculation puts the formation energy at -0.05 eV per atom.



(3)
First-principles (PBE-GGA) data for a relaxed structure of LiZnCd4Ag, as listed in Alexandria via LeMat-Bulk.

a b c (Å): 5.6167 5.6167 9.7164
angles (deg): 90.00 90.00 99.00
Element x y z (fractional)
Li (0.6343, 0.3657, 0.2500)
Li (0.3657, 0.6343, 0.7500)
Zn (0.5000, 0.5000, 0.5000)
Zn (0.5000, 0.5000, 0.0000)
Cd (0.4719, 0.1382, 0.7500)
Cd (0.8618, 0.5281, 0.7500)
Cd (0.8241, 0.1759, 0.0136)
Cd (0.8241, 0.1759, 0.4864)
Cd (0.1759, 0.8241, 0.9864)
Cd (0.1759, 0.8241, 0.5136)
Cd (0.5281, 0.8618, 0.2500)
Cd (0.1382, 0.4719, 0.2500)
Ag (0.0306, 0.9694, 0.2500)
Ag (0.9694, 0.0306, 0.7500)

As for the space group: Cmcm, No. 63. The density of states at the Fermi level comes out at 2.0 states/eV/f.u. The final energy is -1.364 eV per atom. The calculation puts the formation energy at 0.02 eV per atom.